# 1
This record from OQMD via LeMat-Bulk describes a relaxed structure of Co3Sn5O12. The functional is PBE with a Hubbard U.

a = 6.722 Å, b = 6.722 Å, c = 6.722 Å
α = 109.47°, β = 109.47°, γ = 109.47°
Site moments in Bohr magnetons follow the coordinates.
Fractional positions:
Co1 0.500 0.500 0.000  2.68
Co2 0.500 0.000 0.500  2.68
Co3 0.000 0.500 0.500  2.68
O1 0.310 0.822 0.133  0.06
O2 0.488 0.310 0.178  0.06
O3 0.867 0.690 0.178  0.05
O4 0.822 0.133 0.310  0.05
O5 0.178 0.488 0.310  0.06
O6 0.310 0.178 0.488  0.05
O7 0.690 0.822 0.512  0.05
O8 0.178 0.867 0.690  0.05
O9 0.822 0.512 0.690  0.06
O10 0.133 0.310 0.822  0.05
O11 0.512 0.690 0.822  0.06
O12 0.690 0.178 0.867  0.06
Sn1 0.000 0.000 0.000  0.02
Sn2 0.500 0.000 0.000  0.00
Sn3 0.000 0.500 0.000  0.00
Sn4 0.000 0.000 0.500  0.00
Sn5 0.500 0.500 0.500  0.00

Computed properties:
E, Ha/atom: -0.223

---

# 2
This record from OQMD via LeMat-Bulk describes a relaxed structure of CoSn2O5. The functional is PBE with a Hubbard U.

a = 5.546 Å, b = 5.546 Å, c = 10.230 Å
α = 90.00°, β = 90.00°, γ = 138.37°
Site moments in Bohr magnetons follow the coordinates.
Fractional positions:
Co1 0.687 0.313 0.250  2.71
Co2 0.313 0.687 0.750  2.71
O1 0.806 0.194 0.065  0.03
O2 0.552 0.448 0.115  0.04
O3 0.274 0.726 0.250  0.06
O4 0.552 0.448 0.385  0.04
O5 0.806 0.194 0.435  0.03
O6 0.194 0.806 0.565  0.03
O7 0.448 0.552 0.615  0.04
O8 0.726 0.274 0.750  0.06
O9 0.448 0.552 0.885  0.04
O10 0.194 0.806 0.935  0.03
Sn1 0.364 0.636 0.067  0.01
Sn2 0.364 0.636 0.433  0.01
Sn3 0.636 0.364 0.567  0.01
Sn4 0.636 0.364 0.933  0.01

Computed properties:
E, Ha/atom: -0.228

---

# 3
This record from OQMD via LeMat-Bulk describes a relaxed structure of CoSn2O4. The functional is PBE with a Hubbard U.

a = 6.494 Å, b = 6.494 Å, c = 6.494 Å
α = 119.98°, β = 90.04°, γ = 119.98°
Site moments in Bohr magnetons follow the coordinates.
Fractional positions:
Co1 0.000 0.000 0.000  2.59
Co2 0.750 0.500 0.250  2.59
O1 0.136 0.757 0.379  0.02
O2 0.621 0.243 0.379  0.02
O3 0.621 0.757 0.379  0.02
O4 0.129 0.257 0.386  0.02
O5 0.621 0.243 0.864  0.02
O6 0.129 0.743 0.871  0.02
O7 0.129 0.257 0.871  0.02
O8 0.614 0.743 0.871  0.02
Sn1 0.375 0.750 0.125  -0.03
Sn2 0.875 0.250 0.625  -0.04
Sn3 0.375 0.750 0.625  -0.02
Sn4 0.375 0.250 0.625  -0.04

Computed properties:
E, Ha/atom: -0.212

---

# 4
This record from OQMD via LeMat-Bulk describes a relaxed structure of CoSnTeO. The functional is PBE with a Hubbard U.

a = 3.304 Å, b = 3.304 Å, c = 16.327 Å
α = 90.00°, β = 90.00°, γ = 120.00°
Fractional positions:
Co1 0.333 0.667 0.275
Co2 0.667 0.333 0.775
O1 0.000 0.000 0.319
O2 0.000 0.000 0.819
Sn1 0.000 0.000 0.452
Sn2 0.000 0.000 0.952
Te1 0.667 0.333 0.141
Te2 0.333 0.667 0.641

Computed properties:
E, Ha/atom: -0.173

---

# 5
This record from OQMD via LeMat-Bulk describes a relaxed structure of CoSnTeO. The functional is PBE with a Hubbard U.

a = 4.237 Å, b = 4.237 Å, c = 8.725 Å
α = 90.00°, β = 90.00°, γ = 90.00°
Fractional positions:
Co1 0.750 0.750 0.244
Co2 0.250 0.250 0.756
O1 0.750 0.750 0.465
O2 0.250 0.250 0.535
Sn1 0.750 0.250 0.000
Sn2 0.250 0.750 0.000
Te1 0.250 0.250 0.320
Te2 0.750 0.750 0.680

Computed properties:
E, Ha/atom: -0.156

---

# 6
This record from OQMD via LeMat-Bulk describes a relaxed structure of CoSnTeO. The functional is PBE with a Hubbard U.

a = 6.906 Å, b = 7.479 Å, c = 6.179 Å
α = 90.00°, β = 90.00°, γ = 90.00°
Fractional positions:
Co1 0.987 0.295 0.014
Co2 0.487 0.705 0.014
Co3 0.513 0.295 0.514
Co4 0.013 0.705 0.514
O1 0.952 0.060 0.164
O2 0.452 0.940 0.164
O3 0.548 0.060 0.664
O4 0.048 0.940 0.664
Sn1 0.128 0.141 0.436
Sn2 0.628 0.859 0.436
Sn3 0.372 0.141 0.936
Sn4 0.872 0.859 0.936
Te1 0.639 0.406 0.136
Te2 0.139 0.594 0.136
Te3 0.861 0.406 0.636
Te4 0.361 0.594 0.636

Computed properties:
E, Ha/atom: -0.171